1.
Below is a geometry-optimized Tl2CdSn structure, with properties calculated at the PBE level.

Computed properties:
* DFT formation energy: 0.17 eV/f.u.
* electronic total energy: -2.3692 eV per atom
* distance to the lowest polymorph of the same formula: 0.48 kcal/mol of atoms

a = 6.532 Å, b = 5.365 Å, c = 6.677 Å
α = 90.00°, β = 102.89°, γ = 90.00°
Space group Pm (No. 6)
Unique sites:
Tl: 0.000 0.000 0.000 (multiplicity 1)
Tl: 0.040 0.000 0.511 (multiplicity 1)
Tl: 0.207 0.500 0.286 (multiplicity 1)
Tl: 0.732 0.500 0.660 (multiplicity 1)
Cd: 0.248 0.500 0.795 (multiplicity 1)
Cd: 0.497 0.000 0.846 (multiplicity 1)
Sn: 0.527 0.000 0.347 (multiplicity 1)
Sn: 0.672 0.500 0.147 (multiplicity 1)



2.
Below is a geometry-optimized Tl12Cd6Sn structure, with properties calculated at the PBE level.

Computed properties:
* DFT formation energy: 0.94 eV/f.u.
* electronic total energy: -1.9448 eV per atom

a = 11.4297 Å, b = 11.4297 Å, c = 14.7431 Å
α = 90.00°, β = 90.00°, γ = 120.00°
Space group R-3 (No. 148, hexagonal axes)
Unique sites:
Tl: 0.0413 0.1867 0.3065 (multiplicity 18)
Tl: 0.0658 0.8384 0.9172 (multiplicity 18)
Cd: 0.0303 0.4438 0.2040 (multiplicity 18)
Sn: 0.0000 0.0000 0.5000 (multiplicity 3)



3.
Below is a geometry-optimized TlCdSn structure, with properties calculated at the PBE level.

Computed properties:
* DFT formation energy: 0.15 eV/f.u.
* electronic total energy: -2.3792 eV per atom
* distance to the lowest polymorph of the same formula: 0.53 kcal/mol of atoms

a = 3.422 Å, b = 3.422 Å, c = 14.003 Å
α = 90.00°, β = 90.00°, γ = 90.00°
Space group I4mm (No. 107)
Unique sites:
Tl: 0.000 0.000 0.000 (multiplicity 2)
Cd: 0.000 0.000 0.667 (multiplicity 2)
Sn: 0.000 0.000 0.319 (multiplicity 2)



4.
Below is a geometry-optimized Tl5Cd4Sn2 structure, with properties calculated at the PBE level.

Computed properties:
* DFT formation energy: 0.54 eV/f.u.
* electronic total energy: -2.0869 eV per atom

a = 4.805 Å, b = 5.900 Å, c = 12.074 Å
α = 91.95°, β = 91.13°, γ = 113.53°
Space group P-1 (No. 2)
Unique sites:
Tl: 0.000 0.000 0.000 (multiplicity 1)
Tl: 0.070 0.145 0.703 (multiplicity 2)
Tl: 0.358 0.728 0.544 (multiplicity 2)
Cd: 0.226 0.447 0.307 (multiplicity 2)
Cd: 0.318 0.640 0.084 (multiplicity 2)
Sn: 0.374 0.749 0.835 (multiplicity 2)